This record from the Alexandria database describes crystalline Sr3LiN at its relaxed geometry. The functional is PBE.

a = 7.3498 Å, b = 7.3448 Å, c = 8.1259 Å
α = 89.97°, β = 62.64°, γ = 60.03°
Fractional positions:
N  0.0483  0.9306  0.7365
Li  0.9159  0.4969  0.4345
Sr  0.0604  0.6736  0.9712
Sr  0.3660  0.5229  0.5079
N  0.3781  0.2658  0.7426
Sr  0.0607  0.1756  0.9712
Sr  0.8684  0.0205  0.5078
Li  0.5104  0.6996  0.0446
Sr  0.3657  0.0208  0.5079
Sr  0.5580  0.1760  0.9713

Computed properties:
E: -3.248 eV per atom
Symmetry: C2/m (12)
DOS at the Fermi energy: 0.514 states/eV/atom
Energy relative to the elements, uncorrected: -0.191 eV/atom